# 1
An optimized crystal structure of CsGe5W3, computed with PBE.

Structure (CIF):
```
data_CsGe5W3
_chemical_formula_sum 'Cs1 Ge5 W3'
_cell_length_a 5.3750
_cell_length_b 5.3750
_cell_length_c 8.8312
_cell_angle_alpha 90.00
_cell_angle_beta 90.00
_cell_angle_gamma 120.00
_space_group_name_H-M_alt 'P 6/m m m'
_space_group_IT_number 191
_space_group_name_Hall '-P 6 2'
loop_
_atom_site_label
_atom_site_type_symbol
_atom_site_fract_x
_atom_site_fract_y
_atom_site_fract_z
Cs1 Cs 0.0000 0.0000 0.0000
Ge1 Ge 0.0000 0.0000 0.5000
Ge2 Ge 0.3333 0.6667 0.2460
W1 W 0.0000 0.5000 0.5000
```

Computed properties:
* uncorrected energy: -0.252 hartree per atom
* crystal system: hexagonal


# 2
An optimized crystal structure of PmReSi, computed with PBE.

Structure (CIF):
```
data_PmReSi
_chemical_formula_sum 'Pm4 Re4 Si4'
_cell_length_a 6.325
_cell_length_b 6.325
_cell_length_c 6.325
_cell_angle_alpha 90.00
_cell_angle_beta 90.00
_cell_angle_gamma 90.00
_space_group_name_H-M_alt 'F -4 3 m'
_space_group_IT_number 216
_space_group_name_Hall 'F -4 2 3'
loop_
_atom_site_label
_atom_site_type_symbol
_atom_site_fract_x
_atom_site_fract_y
_atom_site_fract_z
Pm1 Pm 0.000 0.000 0.000
Re1 Re 0.000 0.000 0.500
Si1 Si 0.250 0.250 0.250
```

Computed properties:
* uncorrected energy: -0.266 hartree per atom
* crystal system: cubic


# 3
An optimized crystal structure of RbFeSn, computed with PBE.

Structure (CIF):
```
data_RbFeSn
_chemical_formula_sum 'Rb4 Fe4 Sn4'
_cell_length_a 7.738
_cell_length_b 7.738
_cell_length_c 7.738
_cell_angle_alpha 90.00
_cell_angle_beta 90.00
_cell_angle_gamma 90.00
_space_group_name_H-M_alt 'F -4 3 m'
_space_group_IT_number 216
_space_group_name_Hall 'F -4 2 3'
loop_
_atom_site_label
_atom_site_type_symbol
_atom_site_fract_x
_atom_site_fract_y
_atom_site_fract_z
Rb1 Rb 0.000 0.000 0.000
Fe1 Fe 0.250 0.250 0.750
Sn1 Sn 0.250 0.250 0.250
```

Computed properties:
* uncorrected energy: -0.107 hartree per atom
* crystal system: cubic


# 4
An optimized crystal structure of RbYZnO3, computed with PBE.

Structure (CIF):
```
data_RbYZnO3
_chemical_formula_sum 'Rb4 Y4 Zn4 O12'
_cell_length_a 3.470
_cell_length_b 12.754
_cell_length_c 9.003
_cell_angle_alpha 90.00
_cell_angle_beta 90.00
_cell_angle_gamma 90.00
_space_group_name_H-M_alt 'C m c m'
_space_group_IT_number 63
_space_group_name_Hall '-C 2c 2'
loop_
_atom_site_label
_atom_site_type_symbol
_atom_site_fract_x
_atom_site_fract_y
_atom_site_fract_z
Rb1 Rb 0.000 0.221 0.250
Y1 Y 0.000 0.500 0.000
Zn1 Zn 0.000 0.058 0.750
O1 O 0.000 0.112 0.552
O2 O 0.000 0.465 0.750
```

Computed properties:
* uncorrected energy: -0.225 hartree per atom
* crystal system: orthorhombic


# 5
An optimized crystal structure of RbHoCl3, computed with PBE.

Structure (CIF):
```
data_RbHoCl3
_chemical_formula_sum 'Rb2 Ho2 Cl6'
_cell_length_a 5.349
_cell_length_b 7.186
_cell_length_c 8.786
_cell_angle_alpha 90.00
_cell_angle_beta 106.01
_cell_angle_gamma 90.00
_space_group_name_H-M_alt 'P 1 21/m 1'
_space_group_IT_number 11
loop_
_space_group_symop_operation_xyz
'x,y,z'
'-x,-y,-z'
'-x,y+1/2,-z'
'x,-y+1/2,z'
loop_
_atom_site_label
_atom_site_type_symbol
_atom_site_fract_x
_atom_site_fract_y
_atom_site_fract_z
Rb1 Rb 0.164 0.250 0.320
Ho1 Ho 0.434 0.250 0.873
Cl1 Cl 0.048 0.750 0.087
Cl2 Cl 0.324 0.005 0.655
```

Computed properties:
* uncorrected energy: -0.147 hartree per atom
* crystal system: monoclinic


# 6
An optimized crystal structure of NaZrAgTe3, computed with PBE.

Structure (CIF):
```
data_NaZrAgTe3
_chemical_formula_sum 'Na2 Zr2 Ag2 Te6'
_cell_length_a 8.249
_cell_length_b 4.146
_cell_length_c 10.441
_cell_angle_alpha 90.00
_cell_angle_beta 106.82
_cell_angle_gamma 90.00
_space_group_name_H-M_alt 'P 1 21/m 1'
_space_group_IT_number 11
loop_
_space_group_symop_operation_xyz
'x,y,z'
'-x,-y,-z'
'-x,y+1/2,-z'
'x,-y+1/2,z'
loop_
_atom_site_label
_atom_site_type_symbol
_atom_site_fract_x
_atom_site_fract_y
_atom_site_fract_z
Na1 Na 0.244 0.250 0.205
Zr1 Zr 0.195 0.750 0.676
Ag1 Ag 0.421 0.250 0.901
Te1 Te 0.073 0.750 0.372
Te2 Te 0.211 0.750 0.953
Te3 Te 0.428 0.250 0.639
```

Computed properties:
* uncorrected energy: -0.162 hartree per atom
* crystal system: monoclinic


# 7
An optimized crystal structure of KZrNp, computed with PBE.

Structure (CIF):
```
data_KZrNp
_chemical_formula_sum 'K4 Zr4 Np4'
_cell_length_a 7.382
_cell_length_b 7.382
_cell_length_c 7.382
_cell_angle_alpha 90.00
_cell_angle_beta 90.00
_cell_angle_gamma 90.00
_space_group_name_H-M_alt 'F -4 3 m'
_space_group_IT_number 216
_space_group_name_Hall 'F -4 2 3'
loop_
_atom_site_label
_atom_site_type_symbol
_atom_site_fract_x
_atom_site_fract_y
_atom_site_fract_z
K1 K 0.000 0.000 0.000
Zr1 Zr 0.250 0.250 0.250
Np1 Np 0.250 0.250 0.750
```

Computed properties:
* uncorrected energy: -0.195 hartree per atom
* crystal system: cubic


# 8
An optimized crystal structure of LaNdBrO, computed with PBE.

Structure (CIF):
```
data_LaNdBrO
_chemical_formula_sum 'La2 Nd2 Br2 O2'
_cell_length_a 3.7115
_cell_length_b 3.7115
_cell_length_c 14.7532
_cell_angle_alpha 90.00
_cell_angle_beta 90.00
_cell_angle_gamma 120.00
_space_group_name_H-M_alt 'P -6 m 2'
_space_group_IT_number 187
_space_group_name_Hall 'P -6 2'
loop_
_atom_site_label
_atom_site_type_symbol
_atom_site_fract_x
_atom_site_fract_y
_atom_site_fract_z
La1 La 0.0000 0.0000 0.1604
Nd1 Nd 0.6667 0.3333 0.3455
Br1 Br 0.0000 0.0000 0.5000
Br2 Br 0.6667 0.3333 0.0000
O1 O 0.3333 0.6667 0.2549
```

Computed properties:
* uncorrected energy: -0.222 hartree per atom
* crystal system: hexagonal


# 9
An optimized crystal structure of Cu2Se, computed with PBE.

Structure (CIF):
```
data_Cu2Se
_chemical_formula_sum 'Cu8 Se4'
_cell_length_a 5.779
_cell_length_b 5.779
_cell_length_c 5.779
_cell_angle_alpha 90.00
_cell_angle_beta 90.00
_cell_angle_gamma 90.00
_space_group_name_H-M_alt 'F -4 3 m'
_space_group_IT_number 216
_space_group_name_Hall 'F -4 2 3'
loop_
_atom_site_label
_atom_site_type_symbol
_atom_site_fract_x
_atom_site_fract_y
_atom_site_fract_z
Cu1 Cu 0.000 0.000 0.000
Cu2 Cu 0.250 0.250 0.250
Se1 Se 0.000 0.000 0.500
```

Computed properties:
* uncorrected energy: -0.133 hartree per atom
* crystal system: cubic


# 10
An optimized crystal structure of TaTlReNi, computed with PBE.

Structure (CIF):
```
data_TaTlReNi
_chemical_formula_sum 'Ta4 Tl4 Re4 Ni4'
_cell_length_a 6.446
_cell_length_b 6.446
_cell_length_c 6.446
_cell_angle_alpha 90.00
_cell_angle_beta 90.00
_cell_angle_gamma 90.00
_space_group_name_H-M_alt 'F -4 3 m'
_space_group_IT_number 216
_space_group_name_Hall 'F -4 2 3'
loop_
_atom_site_label
_atom_site_type_symbol
_atom_site_fract_x
_atom_site_fract_y
_atom_site_fract_z
Ta1 Ta 0.000 0.000 0.000
Tl1 Tl 0.250 0.250 0.250
Re1 Re 0.250 0.250 0.750
Ni1 Ni 0.000 0.000 0.500
```

Computed properties:
* uncorrected energy: -0.273 hartree per atom
* crystal system: cubic


# 11
An optimized crystal structure of GdCoOs, computed with PBE.

Structure (CIF):
```
data_GdCoOs
_chemical_formula_sum 'Gd4 Co4 Os4'
_cell_length_a 6.195
_cell_length_b 6.195
_cell_length_c 6.195
_cell_angle_alpha 90.00
_cell_angle_beta 90.00
_cell_angle_gamma 90.00
_space_group_name_H-M_alt 'F -4 3 m'
_space_group_IT_number 216
_space_group_name_Hall 'F -4 2 3'
loop_
_atom_site_label
_atom_site_type_symbol
_atom_site_fract_x
_atom_site_fract_y
_atom_site_fract_z
Gd1 Gd 0.000 0.000 0.000
Co1 Co 0.000 0.000 0.500
Os1 Os 0.250 0.250 0.750
```

Computed properties:
* uncorrected energy: -0.259 hartree per atom
* crystal system: cubic
* energy of formation: 603 meV per atom


# 12
An optimized crystal structure of CuAu, computed with PBE.

Structure (CIF):
```
data_CuAu
_chemical_formula_sum 'Cu20 Au20'
_cell_length_a 3.676
_cell_length_b 4.029
_cell_length_c 40.527
_cell_angle_alpha 90.00
_cell_angle_beta 90.00
_cell_angle_gamma 90.00
_space_group_name_H-M_alt 'I m m a'
_space_group_IT_number 74
_space_group_name_Hall '-I 2b 2'
loop_
_atom_site_label
_atom_site_type_symbol
_atom_site_fract_x
_atom_site_fract_y
_atom_site_fract_z
Cu1 Cu 0.000 0.250 0.025
Cu2 Cu 0.000 0.250 0.125
Cu3 Cu 0.000 0.250 0.226
Cu4 Cu 0.000 0.250 0.825
Cu5 Cu 0.000 0.250 0.925
Au1 Au 0.000 0.250 0.325
Au2 Au 0.000 0.250 0.425
Au3 Au 0.000 0.250 0.525
Au4 Au 0.000 0.250 0.625
Au5 Au 0.000 0.250 0.724
```

Computed properties:
* uncorrected energy: -0.130 hartree per atom
* crystal system: orthorhombic
* energy of formation: -51 meV per atom


Number 1: ρ 7.873 g cm⁻³. Number 2: ρ 9.430 g cm⁻³. Number 3: ρ 3.727 g cm⁻³. Number 4: ρ 4.798 g cm⁻³. Number 5: ρ 3.651 g cm⁻³. Number 6: ρ 5.877 g cm⁻³. Number 7: ρ 6.066 g cm⁻³. Number 8: ρ 7.153 g cm⁻³. Number 9: ρ 7.091 g cm⁻³. Number 10: ρ 15.630 g cm⁻³. Number 11: ρ 11.357 g cm⁻³. Number 12: ρ 14.414 g cm⁻³.